6
Lattice="2.5368 1.4646 9.0624 -2.5368 1.4646 9.0624 0.0000 -2.9292 9.0624" Properties=species:S:1:pos:R:3 comment="NaCeTe | the Alexandria database | PBE-GGA | relaxed" crystal_system=trigonal total_magnetization_mub_per_fu=2.20 dft_energy_ry_per_atom=-0.2967 spacegroup="R-3m, No. 166" pbc="T T T"
Na 0.0000 0.0000 3.5909
Na 0.0000 0.0000 23.5964
Ce 0.0000 0.0000 8.0555
Ce 0.0000 0.0000 19.1318
Te 0.0000 0.0000 11.3342
Te 0.0000 0.0000 15.8531